Entry 1:
Material: AcZnCu
Method: DFT, PBE-GGA
State: relaxed

Properties
E above lowest polymorph = 409.1 meV per atom
space group = No. 216

Cell: 5.0269 5.0269 5.0269 Å, 60.00 60.00 60.00°
Last column: nearest neighbours and their distance in Å.
Element x y z (fractional)
Ac 0.0000 0.0000 0.0000  4 Cu 3.08, 4 Zn 3.08
Zn 0.2500 0.2500 0.2500  4 Ac 3.08
Cu 0.7500 0.7500 0.7500  4 Ac 3.08

Entry 2:
Material: AcZnCu
Method: DFT, PBE-GGA
State: relaxed

Properties
E above lowest polymorph = 159.8 meV per atom
space group = No. 216

Cell: 4.8271 4.8271 4.8271 Å, 60.00 60.00 60.00°
Last column: nearest neighbours and their distance in Å.
Element x y z (fractional)
Ac 0.0000 0.0000 0.0000  4 Zn 2.96
Zn 0.2500 0.2500 0.2500  4 Cu 2.96, 4 Ac 2.96
Cu 0.5000 0.5000 0.5000  4 Zn 2.96

Entry 3:
Material: Ac2Zn3Cu2
Method: DFT, PBE-GGA
State: relaxed

Properties
energy = -2.849 eV per atom
space group = No. 65

Cell: 11.5199 11.5199 3.6223 Å, 90.00 90.00 161.18°
Last column: nearest neighbours and their distance in Å.
Element x y z (fractional)
Ac 0.0880 0.9120 0.0000  1 Cu 2.94, 4 Zn 3.29
Ac 0.9120 0.0880 0.0000  1 Cu 2.94, 4 Zn 3.29
Zn 0.3076 0.6924 0.5000  6 Cu 2.67-2.74
Zn 0.5000 0.5000 0.5000  8 Ac 3.29, 2 Zn 3.62
Zn 0.6924 0.3076 0.5000  6 Cu 2.67-2.74
Cu 0.2173 0.7827 0.0000  2 Cu 2.40, 4 Zn 2.67
Cu 0.7827 0.2173 0.0000  2 Cu 2.40, 4 Zn 2.67

Entry 4:
Material: AcZn2Cu3
Method: DFT, PBE-GGA
State: relaxed

Properties
energy = -3.182 eV per atom
space group = No. 63

Cell: 6.5072 6.5072 5.1766 Å, 90.00 90.00 79.16°
Last column: nearest neighbours and their distance in Å.
Element x y z (fractional)
Ac 0.1890 0.8110 0.7500  9 Cu 3.19-3.25, 4 Zn 3.52
Ac 0.8110 0.1890 0.2500  9 Cu 3.19-3.25, 4 Zn 3.52
Zn 0.2869 0.2869 0.0000  6 Cu 2.51-2.61, 2 Zn 2.59
Zn 0.2869 0.2869 0.5000  6 Cu 2.51-2.61, 2 Zn 2.59
Zn 0.7131 0.7131 0.0000  6 Cu 2.51-2.61, 2 Zn 2.59
Zn 0.7131 0.7131 0.5000  6 Cu 2.51-2.61, 2 Zn 2.59
Cu 0.0435 0.5858 0.2500  1 Cu 2.48, 4 Zn 2.51-2.61
Cu 0.4142 0.9565 0.2500  1 Cu 2.48, 4 Zn 2.51-2.61
Cu 0.4263 0.5737 0.2500  2 Cu 2.48, 4 Zn 2.57
Cu 0.5737 0.4263 0.7500  2 Cu 2.48, 4 Zn 2.57
Cu 0.5858 0.0435 0.7500  1 Cu 2.48, 4 Zn 2.51-2.61
Cu 0.9565 0.4142 0.7500  1 Cu 2.48, 4 Zn 2.51-2.61

Entry 5:
Material: AcDy
Method: DFT, PBE-GGA
State: relaxed

Properties
E above lowest polymorph = 677.7 meV per atom
space group = No. 225

Cell: 4.8947 4.8947 4.8947 Å, 60.00 60.00 60.00°
Last column: nearest neighbours and their distance in Å.
Element x y z (fractional)
Ac 0.0000 0.0000 0.0000  6 Dy 3.46
Dy 0.5000 0.5000 0.5000  6 Ac 3.46

Entry 6:
Material: AcDy
Method: DFT, PBE-GGA
State: relaxed

Properties
E above lowest polymorph = 0.0 meV per atom
space group = No. 38

Cell: 5.9831 3.8127 3.8127 Å, 60.10 90.00 90.00°
Last column: nearest neighbours and their distance in Å.
Element x y z (fractional)
Ac 0.0000 0.0000 0.0000  6 Dy 3.71-3.72, 6 Ac 3.81-3.82
Dy 0.5000 0.3334 0.3334  6 Ac 3.71-3.72, 6 Dy 3.81-3.82

Entry 7:
Material: AcDy
Method: DFT, PBE-GGA
State: relaxed

Properties
E above lowest polymorph = 1664.0 meV per atom
space group = No. 216

Cell: 5.2549 5.2549 5.2549 Å, 60.00 60.00 60.00°
Last column: nearest neighbours and their distance in Å.
Element x y z (fractional)
Ac 0.0000 0.0000 0.0000  4 Dy 3.22
Dy 0.7500 0.7500 0.7500  4 Ac 3.22

Entry 8:
Material: AcDy
Method: DFT, PBE-GGA
State: relaxed

Properties
E above lowest polymorph = 1139.5 meV per atom
space group = No. 194

Cell: 6.1014 6.1014 6.7737 Å, 90.00 90.00 120.00°
Last column: nearest neighbours and their distance in Å.
Element x y z (fractional)
Ac 0.3333 0.6667 0.2500  5 Dy 3.39-3.52
Ac 0.6667 0.3333 0.7500  5 Dy 3.39-3.52
Dy 0.3333 0.6667 0.7500  5 Ac 3.39-3.52
Dy 0.6667 0.3333 0.2500  5 Ac 3.39-3.52

Entry 9:
Material: AcDyFe
Method: DFT, PBE-GGA
State: relaxed

Properties
E above lowest polymorph = 0.0 meV per atom
space group = No. 216

Cell: 4.8859 4.8859 4.8859 Å, 60.00 60.00 60.00°
Last column: nearest neighbours and their distance in Å.
Element x y z (fractional)
Ac 0.0000 0.0000 0.0000  4 Fe 2.99
Dy 0.5000 0.5000 0.5000  4 Fe 2.99
Fe 0.7500 0.7500 0.7500  4 Ac 2.99, 4 Dy 2.99

Entry 10:
Material: AcDyGa
Method: DFT, PBE-GGA
State: relaxed

Properties
E above lowest polymorph = 0.0 meV per atom
space group = No. 216

Cell: 5.2013 5.2013 5.2013 Å, 60.00 60.00 60.00°
Last column: nearest neighbours and their distance in Å.
Element x y z (fractional)
Ac 0.0000 0.0000 0.0000  4 Ga 3.19
Dy 0.5000 0.5000 0.5000  4 Ga 3.19
Ga 0.2500 0.2500 0.2500  4 Dy 3.19, 4 Ac 3.19

Entry 11:
Material: AcDyHf
Method: DFT, PBE-GGA
State: relaxed

Properties
E above lowest polymorph = 334.3 meV per atom
space group = No. 216

Cell: 5.3941 5.3941 5.3941 Å, 60.00 60.00 60.00°
Last column: nearest neighbours and their distance in Å.
Element x y z (fractional)
Ac 0.0000 0.0000 0.0000  4 Hf 3.30, 4 Dy 3.30
Dy 0.7500 0.7500 0.7500  4 Ac 3.30
Hf 0.2500 0.2500 0.2500  4 Ac 3.30

Entry 12:
Material: AcDyHf
Method: DFT, PBE-GGA
State: relaxed

Properties
E above lowest polymorph = 0.0 meV per atom
space group = No. 216

Cell: 5.3745 5.3745 5.3745 Å, 60.00 60.00 60.00°
Last column: nearest neighbours and their distance in Å.
Element x y z (fractional)
Ac 0.0000 0.0000 0.0000  4 Hf 3.29
Dy 0.5000 0.5000 0.5000  4 Hf 3.29
Hf 0.2500 0.2500 0.2500  4 Ac 3.29, 4 Dy 3.29

Entry 13:
Material: AcDyHo
Method: DFT, PBE-GGA
State: relaxed

Properties
E above lowest polymorph = 0.0 meV per atom
space group = No. 216

Cell: 5.6237 5.6237 5.6237 Å, 60.00 60.00 60.00°
Last column: nearest neighbours and their distance in Å.
Element x y z (fractional)
Ac 0.0000 0.0000 0.0000  4 Ho 3.44
Dy 0.5000 0.5000 0.5000  4 Ho 3.44
Ho 0.7500 0.7500 0.7500  4 Dy 3.44, 4 Ac 3.44

Entry 14:
Material: AcDyIn
Method: DFT, PBE-GGA
State: relaxed

Properties
E above lowest polymorph = 0.0 meV per atom
space group = No. 216

Cell: 5.4262 5.4262 5.4262 Å, 60.00 60.00 60.00°
Last column: nearest neighbours and their distance in Å.
Element x y z (fractional)
Ac 0.0000 0.0000 0.0000  4 In 3.32
Dy 0.5000 0.5000 0.5000  4 In 3.32
In 0.2500 0.2500 0.2500  4 Ac 3.32, 4 Dy 3.32

Entry 15:
Material: AcDyIr
Method: DFT, PBE-GGA
State: relaxed

Properties
E above lowest polymorph = 0.0 meV per atom
space group = No. 216

Cell: 4.8809 4.8809 4.8809 Å, 60.00 60.00 60.00°
Last column: nearest neighbours and their distance in Å.
Element x y z (fractional)
Ac 0.0000 0.0000 0.0000  4 Dy 2.99
Dy 0.2500 0.2500 0.2500  4 Ir 2.99, 4 Ac 2.99
Ir 0.5000 0.5000 0.5000  4 Dy 2.99

Entry 16:
Material: AcDyIr
Method: DFT, PBE-GGA
State: relaxed

Properties
E above lowest polymorph = 254.2 meV per atom
space group = No. 216

Cell: 4.9319 4.9319 4.9319 Å, 60.00 60.00 60.00°
Last column: nearest neighbours and their distance in Å.
Element x y z (fractional)
Ac 0.0000 0.0000 0.0000  4 Dy 3.02, 4 Ir 3.02
Dy 0.7500 0.7500 0.7500  4 Ac 3.02
Ir 0.2500 0.2500 0.2500  4 Ac 3.02

Entry 17:
Material: AcLaDy
Method: DFT, PBE-GGA
State: relaxed

Properties
E above lowest polymorph = 0.0 meV per atom
space group = No. 216

Cell: 5.7291 5.7291 5.7291 Å, 60.00 60.00 60.00°
Last column: nearest neighbours and their distance in Å.
Element x y z (fractional)
Ac 0.0000 0.0000 0.0000  4 Dy 3.51
La 0.5000 0.5000 0.5000  4 Dy 3.51
Dy 0.2500 0.2500 0.2500  4 La 3.51, 4 Ac 3.51

Entry 18:
Material: LiAcDy
Method: DFT, PBE-GGA
State: relaxed

Properties
E above lowest polymorph = 415.3 meV per atom
space group = No. 216

Cell: 5.3363 5.3363 5.3363 Å, 60.00 60.00 60.00°
Last column: nearest neighbours and their distance in Å.
Element x y z (fractional)
Li 0.0000 0.0000 0.0000  4 Ac 3.27
Ac 0.7500 0.7500 0.7500  4 Dy 3.27, 4 Li 3.27
Dy 0.5000 0.5000 0.5000  4 Ac 3.27

Entry 19:
Material: LiAcDy
Method: DFT, PBE-GGA
State: relaxed

Properties
E above lowest polymorph = 0.0 meV per atom
space group = No. 216

Cell: 5.2786 5.2786 5.2786 Å, 60.00 60.00 60.00°
Last column: nearest neighbours and their distance in Å.
Element x y z (fractional)
Li 0.0000 0.0000 0.0000  4 Ac 3.23, 4 Dy 3.23
Ac 0.7500 0.7500 0.7500  4 Li 3.23
Dy 0.2500 0.2500 0.2500  4 Li 3.23

Entry 20:
Material: AcDyLu
Method: DFT, PBE-GGA
State: relaxed

Properties
E above lowest polymorph = 0.0 meV per atom
space group = No. 216

Cell: 5.5858 5.5858 5.5858 Å, 60.00 60.00 60.00°
Last column: nearest neighbours and their distance in Å.
Element x y z (fractional)
Ac 0.0000 0.0000 0.0000  4 Lu 3.42
Dy 0.5000 0.5000 0.5000  4 Lu 3.42
Lu 0.2500 0.2500 0.2500  4 Ac 3.42, 4 Dy 3.42

Quick rundown of size of the total moment, same order as above: 0.00 0.00 0.00 0.00 0.58 0.00 0.18 0.01 0.28 0.67 0.00 1.87 0.01 0.85 0.01 0.00 0.00 0.02 0.02 0.02 μB per formula unit